Density functional theory data (PBE) for a relaxed structure of Be2HgPb.

CIF file:
```
data_Be2HgPb
_chemical_formula_sum 'Be6 Hg3 Pb3'
_symmetry_space_group_name_H-M 'R -3 m'
_symmetry_Int_Tables_number 166
_symmetry_space_group_name_Hall '-R 3 2"'
_cell_length_a 3.5411
_cell_length_b 3.5411
_cell_length_c 20.5482
_cell_angle_alpha 90.00
_cell_angle_beta 90.00
_cell_angle_gamma 120.00
loop_
_atom_site_label
_atom_site_type_symbol
_atom_site_fract_x
_atom_site_fract_y
_atom_site_fract_z
_atom_site_occupancy
Be1 Be 0.0000 0.0000 0.2411 1
Hg1 Hg 0.0000 0.0000 0.5000 1
Pb1 Pb 0.0000 0.0000 0.0000 1
```

- total moment (μB per formula unit) = 0.00
- E_form (eV/atom) = 0.632
- energy relative to the lowest polymorph listed for this composition (eV/atom) = 0.260
- E (eV per cell) = -26.8
- D(E_F) (states/eV/f.u.) = 1.99